[1]
TlGaPd2: relaxed, PBE-GGA.

```
4
Lattice="-2.311 2.311 3.287 2.311 -2.311 3.287 2.311 2.311 -3.287" Properties=species:S:1:pos:R:3 pbc="T T T"
Ga 0.000 0.000 3.287
Pd 0.000 2.311 1.643
Pd 2.311 0.000 1.643
Tl 0.000 0.000 0.000
```

total energy: -4.208 eV per atom

[2]
Tm4Ga12Pd: relaxed, PBE-GGA.

```
17
Lattice="-4.278 4.278 4.278 4.278 -4.278 4.278 4.278 4.278 -4.278" Properties=species:S:1:pos:R:3 pbc="T T T"
Ga 0.000 0.000 2.535
Ga 0.000 0.000 6.021
Ga 0.000 2.139 4.278
Ga 2.139 0.000 4.278
Ga 0.000 2.535 0.000
Ga 2.535 0.000 0.000
Ga 0.000 4.278 2.139
Ga 4.278 0.000 2.139
Ga 0.000 6.021 0.000
Ga 6.021 0.000 0.000
Ga 2.139 4.278 0.000
Ga 4.278 2.139 0.000
Pd 0.000 0.000 0.000
Tm -2.139 2.139 2.139
Tm 2.139 -2.139 2.139
Tm 2.139 2.139 -2.139
Tm 2.139 2.139 2.139
```

total energy: -4.070 eV per atom

[3]
Tm2Ga8Pd: relaxed, PBE-GGA.

```
11
Lattice="4.314 0.000 0.000 0.000 4.314 0.000 0.000 0.000 11.020" Properties=species:S:1:pos:R:3 pbc="T T T"
Ga 2.157 0.000 1.418
Ga 0.000 2.157 1.418
Ga 2.157 2.157 3.406
Ga 2.157 0.000 5.510
Ga 0.000 2.157 5.510
Ga 2.157 2.157 7.613
Ga 2.157 0.000 9.602
Ga 0.000 2.157 9.602
Pd 0.000 0.000 0.000
Tm 0.000 0.000 3.440
Tm 0.000 0.000 7.579
```

total energy: -3.990 eV per atom

[4]
TmGa2Pd2: relaxed, PBE-GGA.

```
5
Lattice="-2.103 2.103 5.199 2.103 -2.103 5.199 2.103 2.103 -5.199" Properties=species:S:1:pos:R:3 pbc="T T T"
Ga 0.000 0.000 3.971
Ga 0.000 0.000 6.428
Pd 0.000 2.103 2.600
Pd 2.103 0.000 2.600
Tm 0.000 0.000 0.000
```

total energy: -4.921 eV per atom

[5]
UGaPd: relaxed, PBE-GGA.

```
3
Lattice="0.082 -3.674 2.700 -3.872 -2.206 0.966 -0.765 -4.138 -1.756" Properties=species:S:1:pos:R:3 pbc="T T T"
Ga -2.277 -5.009 0.955
Pd -1.139 -2.505 0.478
U 0.000 0.000 0.000
```

total energy: -6.600 eV per atom

[6]
UGaPd: relaxed, PBE-GGA.

```
3
Lattice="-1.113 -3.874 -2.378 -3.147 -2.993 1.743 -4.215 -0.390 -1.996" Properties=species:S:1:pos:R:3 pbc="T T T"
Ga -2.119 -1.814 -0.658
Pd -6.356 -5.443 -1.973
U 0.000 0.000 0.000
```

total energy: -6.085 eV per atom